(1)
! Mg8Tl2Cd3 (PBE-GGA, relaxed); values from VASP
! energy relative to the elements: -0.006 eV per atom
! relative energy among the computed polymorphs: 0.0 kJ/mol of atoms
! DOS at the Fermi energy: 0.245 states/eV/atom
&SYSTEM
  ibrav = 0, nat = 13, ntyp = 3
/
ATOMIC_SPECIES
Mg 24.30 Mg.upf
Tl 204.38 Tl.upf
Cd 112.41 Cd.upf
CELL_PARAMETERS angstrom
3.848 -8.039 0.000
3.848 8.039 0.000
0.000 0.000 5.061
ATOMIC_POSITIONS angstrom
Mg 3.848 5.993 0.000
Mg 2.283 1.694 2.531
Mg 3.848 2.692 0.000
Mg 2.283 -1.694 2.531
Mg 5.412 1.694 2.531
Mg 3.848 -2.692 0.000
Mg 5.412 -1.694 2.531
Mg 3.848 -5.993 0.000
Tl 3.848 4.293 2.531
Tl 3.848 -4.293 2.531
Cd 0.000 0.000 2.531
Cd 2.289 0.000 0.000
Cd 5.407 0.000 0.000

---

(2)
! Al2AgPt2 (PBE-GGA, relaxed); values from VASP
! energy relative to the elements: -0.788 eV per atom
! relative energy among the computed polymorphs: 0.0 kJ/mol of atoms
! DOS at the Fermi energy: 0.210 states/eV/atom
&SYSTEM
  ibrav = 0, nat = 10, ntyp = 3
/
ATOMIC_SPECIES
Al 26.98 Al.upf
Ag 107.87 Ag.upf
Pt 195.08 Pt.upf
CELL_PARAMETERS angstrom
7.472 0.000 0.000
0.000 7.472 0.000
0.000 0.000 2.830
ATOMIC_POSITIONS angstrom
Al 1.153 2.583 0.000
Al 2.583 6.318 0.000
Al 4.889 1.153 0.000
Al 6.318 4.889 0.000
Ag 0.000 0.000 1.415
Ag 3.736 3.736 1.415
Pt 1.063 4.799 1.415
Pt 2.672 1.063 1.415
Pt 4.799 6.408 1.415
Pt 6.408 2.672 1.415

---

(3)
! USiIr (PBE-GGA, relaxed); values from VASP
! formation energy (no corrections): -674 meV per atom
! DOS at the Fermi energy: 1.223 states/eV/atom
&SYSTEM
  ibrav = 0, nat = 3, ntyp = 3
/
ATOMIC_SPECIES
U 238.03 U.upf
Si 28.09 Si.upf
Ir 192.22 Ir.upf
CELL_PARAMETERS angstrom
4.310 0.000 0.000
-2.155 3.733 0.000
0.000 0.000 3.352
ATOMIC_POSITIONS angstrom
U 0.000 0.000 0.000
Si 0.000 2.489 1.676
Ir 2.155 1.244 1.676

---

(4)
! Ni6SbPt2 (PBE-GGA, relaxed); values from VASP
! formation energy (no corrections): -103 meV per atom
! DOS at the Fermi energy: 1.472 states/eV/atom
&SYSTEM
  ibrav = 0, nat = 9, ntyp = 3
/
ATOMIC_SPECIES
Ni 58.69 Ni.upf
Sb 121.76 Sb.upf
Pt 195.08 Pt.upf
CELL_PARAMETERS angstrom
4.529 0.000 0.000
2.254 3.961 0.000
2.245 1.167 6.506
ATOMIC_POSITIONS angstrom
Ni 1.885 1.927 2.175
Ni 3.400 1.842 6.500
Ni 4.178 3.224 2.173
Ni 4.850 1.904 4.333
Ni 5.628 3.286 0.005
Ni 7.143 3.201 4.331
Sb 3.391 1.980 0.000
Pt 4.815 4.563 4.320
Pt 4.213 0.564 2.186

---

(5)
! SmYAlCo (PBE-GGA, relaxed); values from VASP
! energy relative to the elements: -0.164 eV per atom
! DOS at the Fermi energy: 0.702 states/eV/atom
&SYSTEM
  ibrav = 0, nat = 4, ntyp = 4
/
ATOMIC_SPECIES
Sm 150.36 Sm.upf
Y 88.91 Y.upf
Al 26.98 Al.upf
Co 58.93 Co.upf
CELL_PARAMETERS angstrom
0.000 3.554 3.554
3.554 0.000 3.554
3.554 3.554 0.000
ATOMIC_POSITIONS angstrom
Sm 0.000 0.000 0.000
Y 3.554 3.554 3.554
Al 1.777 1.777 1.777
Co 5.331 5.331 5.331

---

(6)
! InMoIr2Pd (PBE-GGA, relaxed); values from VASP
! energy relative to the elements: 1.340 eV per atom
! DOS at the Fermi energy: 0.932 states/eV/atom
&SYSTEM
  ibrav = 0, nat = 5, ntyp = 4
/
ATOMIC_SPECIES
In 114.82 In.upf
Mo 95.94 Mo.upf
Ir 192.22 Ir.upf
Pd 106.42 Pd.upf
CELL_PARAMETERS angstrom
4.678 0.000 0.000
0.000 4.678 0.000
0.000 0.000 5.169
ATOMIC_POSITIONS angstrom
In 0.000 0.000 0.000
Mo 0.000 0.000 2.585
Ir 0.000 2.339 2.585
Ir 2.339 0.000 2.585
Pd 2.339 2.339 0.000

---

(7)
! PaInAg2O6 (PBE-GGA, relaxed); values from VASP
! formation energy (no corrections): -1553 meV per atom
&SYSTEM
  ibrav = 0, nat = 10, ntyp = 4
/
ATOMIC_SPECIES
Pa 231.04 Pa.upf
In 114.82 In.upf
Ag 107.87 Ag.upf
O 16.00 O.upf
CELL_PARAMETERS angstrom
5.658 0.000 0.000
2.619 5.040 0.000
2.720 1.369 5.060
ATOMIC_POSITIONS angstrom
Pa 0.000 0.000 0.000
In 5.473 3.150 2.692
Ag 2.763 1.527 1.597
Ag 8.258 4.661 4.679
O 4.507 4.826 3.732
O 3.937 3.393 0.967
O 4.299 1.720 3.751
O 6.426 4.523 1.107
O 7.328 2.992 3.796
O 6.167 1.464 1.421

---

(8)
! Si2HgSe4 (PBE-GGA, relaxed); values from VASP
! formation energy (no corrections): -376 meV per atom
! DOS at the Fermi energy: 0.000 states/eV/atom
&SYSTEM
  ibrav = 0, nat = 7, ntyp = 3
/
ATOMIC_SPECIES
Si 28.09 Si.upf
Hg 200.59 Hg.upf
Se 78.96 Se.upf
CELL_PARAMETERS angstrom
-4.540 4.540 2.958
4.540 -4.540 2.958
4.540 4.540 -2.958
ATOMIC_POSITIONS angstrom
Si 4.540 0.000 1.479
Si 0.000 4.540 1.479
Hg 0.000 0.000 0.000
Se 5.236 1.625 0.000
Se 1.625 3.844 0.000
Se 2.915 0.696 2.958
Se -0.696 2.915 2.958

---

One value per record, in order, for raw total energy: -1.5626, -5.2714, -9.1981, -5.7573, -5.6715, -5.9564, -6.3217, -3.9593 eV/atom.